First-principles (PBE-GGA) data for a geometry-optimized BeBiPt3 structure, as listed in Alexandria.

Output
* calculated density: 14.34 g/cm³
* formation energy from the elements: -0.17 eV/atom
* V: 18.6 Å³ per atom
* E: -0.3910 Ry per atom

Cell: 7.8609 7.8609 7.8609 Å, 40.65 40.65 40.65°
Fractional positions:
1 Bi 0.6692 0.6692 0.6692
2 Bi 0.3308 0.3308 0.3308
3 Pt 0.4485 0.8874 0.3237
4 Pt 0.6763 0.5515 0.1126
5 Pt 0.3237 0.4485 0.8874
6 Pt 0.5515 0.1126 0.6763
7 Pt 0.1126 0.6763 0.5515
8 Pt 0.8874 0.3237 0.4485
9 Be 0.8658 0.8658 0.8658
10 Be 0.1342 0.1342 0.1342